(1)
A plane-wave DFT calculation with GGA-PBEsol was carried out for a relaxed K2CaZrH16C8O24 crystal. Values from VASP.

```
&SYSTEM
  ibrav = 0, nat = 52, ntyp = 6
/
ATOMIC_SPECIES
K 39.10 K.upf
Ca 40.08 Ca.upf
Zr 91.22 Zr.upf
H 1.01 H.upf
C 12.01 C.upf
O 16.00 O.upf
CELL_PARAMETERS angstrom
-5.676 5.676 4.350
5.676 -5.676 4.350
5.676 5.676 -4.350
ATOMIC_POSITIONS angstrom
K 0.000 0.000 0.000
K 0.000 5.676 2.175
Ca 5.676 0.000 2.175
Zr 0.000 0.000 4.350
H 4.561 2.894 -1.937
H 8.492 2.031 -1.114
H 2.807 2.029 -1.051
H 2.821 1.114 0.267
H 4.562 -2.855 4.084
H 3.647 -2.869 5.402
H 2.031 2.860 1.114
H 1.116 2.782 2.413
H 2.782 -1.116 6.288
H -2.816 3.646 3.236
H 2.869 3.647 3.299
H 1.114 8.531 -0.267
H 2.894 6.792 1.937
H 2.029 8.545 1.051
H 3.646 2.816 5.464
H 2.855 4.562 4.617
C 5.612 2.634 0.332
C 3.165 5.632 -1.760
C 2.511 0.044 2.590
C 3.042 -0.064 4.018
C 2.634 5.740 -0.332
C 5.720 3.165 1.760
C 0.064 3.042 4.683
C -0.044 2.511 6.111
O 5.562 -2.346 2.700
O 2.306 1.817 -0.205
O 5.553 1.413 0.144
O 8.022 -0.114 1.650
O 3.330 0.114 1.650
O 3.859 -3.370 4.555
O 5.582 3.563 -0.566
O 4.437 5.615 -1.845
O 1.239 0.061 2.506
O 4.263 -0.123 4.206
O 1.413 5.799 -0.144
O 5.790 2.346 2.700
O 1.817 3.327 1.981
O 2.113 -0.094 4.916
O 3.563 5.770 0.566
O 5.737 4.437 1.845
O -2.349 3.859 2.370
O 0.094 2.113 3.785
O 3.370 3.859 4.146
O 1.817 9.046 0.205
O -0.061 1.239 6.195
O 0.123 4.263 4.495
O 2.349 7.493 2.370
O -1.817 8.025 1.981
```

- total DFT energy (no corrections) (eV for the cell shown) = -342.05
- DOS(E_F) (states/eV per cell) = 0.00
- symmetry = I-4
- theoretical density (g cm⁻³) = 2.09



(2)
A plane-wave DFT calculation with GGA-PBEsol was carried out for a relaxed CrAsRh3 crystal. Values from VASP.

```
&SYSTEM
  ibrav = 0, nat = 5, ntyp = 3
/
ATOMIC_SPECIES
Cr 52.00 Cr.upf
As 74.92 As.upf
Rh 102.91 Rh.upf
CELL_PARAMETERS angstrom
4.382 0.000 0.000
0.000 4.382 0.000
0.000 0.000 4.382
ATOMIC_POSITIONS angstrom
Cr 0.000 0.000 0.000
As 2.191 2.191 2.191
Rh 0.000 0.000 2.191
Rh 0.000 2.191 0.000
Rh 2.191 0.000 0.000
```

- total DFT energy (no corrections) (eV for the cell shown) = -34.79
- DOS(E_F) (states/eV per cell) = 4.66
- symmetry = Pm-3m
- theoretical density (g cm⁻³) = 8.60
- E_form (meV per atom) = 994



(3)
A plane-wave DFT calculation with GGA-PBEsol was carried out for a relaxed Li2Si2Ni2O7 crystal. Values from VASP.

```
&SYSTEM
  ibrav = 0, nat = 26, ntyp = 4
/
ATOMIC_SPECIES
Li 6.94 Li.upf
Si 28.09 Si.upf
Ni 58.69 Ni.upf
O 16.00 O.upf
CELL_PARAMETERS angstrom
12.892 0.000 0.000
0.000 4.079 2.494
0.000 -4.079 2.494
ATOMIC_POSITIONS angstrom
Li 1.094 -2.427 2.494
Li 5.352 -2.427 2.494
Li 7.540 2.427 2.494
Li 11.798 2.427 2.494
Si 1.753 2.867 2.523
Si 4.694 2.867 2.523
Si 8.199 -2.867 2.523
Si 11.140 -2.867 2.523
Ni 0.000 0.000 2.471
Ni 3.223 0.029 2.375
Ni 6.446 0.000 2.471
Ni 9.669 -0.029 2.375
O 0.639 1.814 2.990
O 1.677 0.101 1.013
O 1.743 -0.756 3.448
O 3.223 2.070 2.802
O 4.704 -0.756 3.448
O 4.769 0.101 1.013
O 5.808 1.814 2.990
O 7.085 -1.814 2.990
O 8.123 -0.101 1.013
O 8.189 0.756 3.448
O 9.669 -2.070 2.802
O 11.150 0.756 3.448
O 11.215 -0.101 1.013
O 12.254 -1.814 2.990
```

- total DFT energy (no corrections) (eV for the cell shown) = -178.09
- DOS(E_F) (states/eV per cell) = 6.57
- symmetry = Ama2
- raw formation energy (kcal/mol of atoms) = -43.57
- theoretical density (g cm⁻³) = 3.79



(4)
A plane-wave DFT calculation with GGA-PBEsol was carried out for a relaxed ZrFeRu2 crystal. Values from VASP.

```
&SYSTEM
  ibrav = 0, nat = 4, ntyp = 3
/
ATOMIC_SPECIES
Zr 91.22 Zr.upf
Fe 55.84 Fe.upf
Ru 101.07 Ru.upf
CELL_PARAMETERS angstrom
-1.917 1.917 3.931
1.917 -1.917 3.931
1.917 1.917 -3.931
ATOMIC_POSITIONS angstrom
Zr 0.000 0.000 0.000
Fe 0.000 1.917 1.965
Ru 1.917 0.000 1.965
Ru 0.000 0.000 3.931
```

- total DFT energy (no corrections) (eV for the cell shown) = -38.40
- DOS(E_F) (states/eV per cell) = 5.72
- symmetry = I-4m2
- theoretical density (g cm⁻³) = 10.04
- E_form (meV per atom) = 0